1.
Density functional theory data (GGA-PBE) for ZrTaRh2 after structural relaxation.

Lattice parameters (Å, degrees): 7.162 7.162 5.817 52.01 52.01 90.00
Fractional coordinates of all 8 atoms:
Rh (0.875, 0.897, 0.750)
Rh (0.103, 0.625, 0.250)
Rh (0.647, 0.125, 0.250)
Rh (0.375, 0.353, 0.750)
Ta (0.750, 0.250, 0.500)
Ta (0.000, 0.000, 0.000)
Zr (0.500, 0.500, 0.000)
Zr (0.250, 0.750, 0.500)

* volume: 147 Å³ per cell
* calculated formation energy: -0.157 eV/atom
* D(E_F): 9.86 states/eV per cell


2.
Density functional theory data (GGA-PBE) for ZrTaRh2 after structural relaxation.

Lattice parameters (Å, degrees): 4.548 4.548 4.548 60.00 60.00 60.00
Fractional coordinates of all 4 atoms:
Rh (0.000, 0.000, 0.000)
Rh (0.250, 0.250, 0.250)
Zr (0.750, 0.750, 0.750)
Ta (0.500, 0.500, 0.500)

* volume: 67 Å³ per cell
* calculated formation energy: -0.290 eV/atom
* D(E_F): 5.21 states/eV per cell


3.
Density functional theory data (GGA-PBE) for Zr2TaRh after structural relaxation.

Lattice parameters (Å, degrees): 5.609 5.609 5.609 138.37 138.37 60.34
Fractional coordinates of all 4 atoms:
Zr (0.250, 0.750, 0.500)
Zr (0.000, 0.000, 0.000)
Rh (0.500, 0.500, 0.000)
Ta (0.750, 0.250, 0.500)

* ΔE to the lowest computed polymorph: 0.202 eV per atom
* volume: 77 Å³ per cell
* calculated formation energy: -0.168 eV/atom
* D(E_F): 4.22 states/eV per cell


4.
Density functional theory data (GGA-PBE) for ZrTa3Rh after structural relaxation.

Lattice parameters (Å, degrees): 4.820 4.820 4.820 90.00 90.00 90.00
Fractional coordinates of all 5 atoms:
Rh (0.000, 0.000, 0.000)
Ta (0.000, 0.000, 0.500)
Ta (0.500, 0.000, 0.000)
Ta (0.000, 0.500, 0.000)
Zr (0.500, 0.500, 0.500)

* ΔE to the lowest computed polymorph: 0.000 eV per atom
* volume: 112 Å³ per cell
* calculated formation energy: 0.911 eV/atom
* D(E_F): 9.06 states/eV per cell


Number 1: raw total energy -71.46 eV for the cell shown, total magnetization 0.00 μB/cell. Number 2: raw total energy -36.26 eV for the cell shown, total magnetization 0.00 μB/cell. Number 3: raw total energy -36.97 eV for the cell shown, total magnetization 0.00 μB/cell. Number 4: raw total energy -46.90 eV for the cell shown, total magnetization 0.00 μB/cell.